(1)
# GaRu3Pb (PBE, relaxed)
data_GaRu3Pb
_chemical_formula_sum 'Ga1 Ru3 Pb1'
_symmetry_space_group_name_H-M 'P 1'
_symmetry_Int_Tables_number 1
_cell_length_a 4.965
_cell_length_b 4.965
_cell_length_c 4.965
_cell_angle_alpha 90.00
_cell_angle_beta 90.00
_cell_angle_gamma 90.00
loop_
_symmetry_equiv_pos_as_xyz
'x,y,z'
loop_
_atom_site_label
_atom_site_type_symbol
_atom_site_fract_x
_atom_site_fract_y
_atom_site_fract_z
Ga1 Ga 0.000 0.000 0.000
Ru1 Ru 0.000 0.500 0.500
Ru2 Ru 0.500 0.000 0.500
Ru3 Ru 0.500 0.500 0.000
Pb1 Pb 0.500 0.500 0.500
# Calculated volume = 24.473 A^3/atom
# Formation enthalpy at 0 K = 2.073 eV per atom
# Crystal system = cubic
# Distance to the lowest polymorph of the same formula = 501 kJ/mol of formula units
# Total DFT energy (no corrections) = -24.20 eV per cell

***

(2)
# NdErZn (PBE, relaxed)
data_NdErZn
_chemical_formula_sum 'Nd1 Er1 Zn1'
_symmetry_space_group_name_H-M 'P 1'
_symmetry_Int_Tables_number 1
_cell_length_a 6.670
_cell_length_b 6.670
_cell_length_c 6.670
_cell_angle_alpha 148.52
_cell_angle_beta 148.52
_cell_angle_gamma 45.12
loop_
_symmetry_equiv_pos_as_xyz
'x,y,z'
loop_
_atom_site_label
_atom_site_type_symbol
_atom_site_fract_x
_atom_site_fract_y
_atom_site_fract_z
Nd1 Nd 0.000 0.000 0.000
Er1 Er 0.288 0.288 0.000
Zn1 Zn 0.658 0.658 0.000
# Calculated volume = 26.886 A^3/atom
# Formation enthalpy at 0 K = -0.202 eV per atom
# Crystal system = tetragonal
# Distance to the lowest polymorph of the same formula = 0 kJ/mol of formula units
# Total DFT energy (no corrections) = -11.21 eV per cell

***

(3)
# Mg2CoAuCl (PBE, relaxed)
data_Mg2CoAuCl
_chemical_formula_sum 'Mg2 Co1 Au1 Cl1'
_symmetry_space_group_name_H-M 'P 1'
_symmetry_Int_Tables_number 1
_cell_length_a 4.779
_cell_length_b 4.779
_cell_length_c 4.059
_cell_angle_alpha 90.00
_cell_angle_beta 90.00
_cell_angle_gamma 90.00
loop_
_symmetry_equiv_pos_as_xyz
'x,y,z'
loop_
_atom_site_label
_atom_site_type_symbol
_atom_site_fract_x
_atom_site_fract_y
_atom_site_fract_z
Mg1 Mg 0.000 0.500 0.000
Mg2 Mg 0.500 0.000 0.000
Co1 Co 0.000 0.000 0.500
Au1 Au 0.500 0.500 0.500
Cl1 Cl 0.000 0.000 0.000
# Calculated volume = 18.540 A^3/atom
# Formation energy (no corrections) = 136 meV per atom
# Crystal system = tetragonal
# Total DFT energy (no corrections) = -14.74 eV per cell

***

(4)
# TlCu2NiS4 (PBE, relaxed)
data_TlCu2NiS4
_chemical_formula_sum 'Tl1 Cu2 Ni1 S4'
_symmetry_space_group_name_H-M 'P 1'
_symmetry_Int_Tables_number 1
_cell_length_a 6.542
_cell_length_b 6.542
_cell_length_c 6.542
_cell_angle_alpha 130.62
_cell_angle_beta 130.62
_cell_angle_gamma 72.41
loop_
_symmetry_equiv_pos_as_xyz
'x,y,z'
loop_
_atom_site_label
_atom_site_type_symbol
_atom_site_fract_x
_atom_site_fract_y
_atom_site_fract_z
Tl1 Tl 0.000 0.000 0.000
Cu1 Cu 0.250 0.750 0.500
Cu2 Cu 0.750 0.250 0.500
Ni1 Ni 0.500 0.500 0.000
S1 S 0.150 0.150 0.573
S2 S 0.423 0.850 0.000
S3 S 0.577 0.577 0.427
S4 S 0.850 0.423 0.000
# Calculated volume = 19.707 A^3/atom
# Formation energy (no corrections) = -230 meV per atom
# Crystal system = tetragonal
# Total DFT energy (no corrections) = -34.69 eV per cell

***

(5)
# CuPdSe (PBE, relaxed)
data_CuPdSe
_chemical_formula_sum 'Cu2 Pd2 Se2'
_symmetry_space_group_name_H-M 'P 1'
_symmetry_Int_Tables_number 1
_cell_length_a 5.048
_cell_length_b 3.673
_cell_length_c 5.806
_cell_angle_alpha 90.00
_cell_angle_beta 106.82
_cell_angle_gamma 90.00
loop_
_symmetry_equiv_pos_as_xyz
'x,y,z'
loop_
_atom_site_label
_atom_site_type_symbol
_atom_site_fract_x
_atom_site_fract_y
_atom_site_fract_z
Cu1 Cu 0.000 0.000 0.000
Cu2 Cu 0.385 0.500 0.168
Pd1 Pd 0.562 0.000 0.520
Pd2 Pd 0.952 0.500 0.319
Se1 Se 0.098 0.000 0.611
Se2 Se 0.653 0.500 0.886
# Calculated volume = 17.173 A^3/atom
# Formation energy (no corrections) = -80 meV per atom
# Crystal system = monoclinic
# Distance to the lowest polymorph of the same formula = 19 kJ/mol of formula units
# Total DFT energy (no corrections) = -26.03 eV per cell

***

(6)
# PrGa5Ag7 (PBE, relaxed)
data_PrGa5Ag7
_chemical_formula_sum 'Pr1 Ga5 Ag7'
_symmetry_space_group_name_H-M 'P 1'
_symmetry_Int_Tables_number 1
_cell_length_a 7.190
_cell_length_b 7.190
_cell_length_c 7.190
_cell_angle_alpha 135.61
_cell_angle_beta 97.85
_cell_angle_gamma 98.56
loop_
_symmetry_equiv_pos_as_xyz
'x,y,z'
loop_
_atom_site_label
_atom_site_type_symbol
_atom_site_fract_x
_atom_site_fract_y
_atom_site_fract_z
Pr1 Pr 0.000 0.000 0.000
Ga1 Ga 0.219 0.719 0.500
Ga2 Ga 0.504 0.004 0.005
Ga3 Ga 0.504 0.499 0.501
Ga4 Ga 0.999 0.004 0.499
Ga5 Ga 0.999 0.499 0.995
Ag1 Ag 0.217 0.503 0.714
Ag2 Ag 0.343 0.343 0.000
Ag3 Ag 0.345 0.996 0.349
Ag4 Ag 0.647 0.996 0.651
Ag5 Ag 0.649 0.649 0.000
Ag6 Ag 0.781 0.281 0.500
Ag7 Ag 0.790 0.503 0.286
# Calculated volume = 18.520 A^3/atom
# Formation enthalpy at 0 K = -0.151 eV per atom
# Crystal system = orthorhombic
# Total DFT energy (no corrections) = -41.83 eV per cell

***

Question: What is the formula in the fourth record?
Answer: TlCu2NiS4

***

Question: calculated volume of number 6 (PrGa5Ag7)?
Answer: 18.520 A^3/atom

***

Question: Which formula does entry 6 have?
Answer: PrGa5Ag7